Record 1
AcPuAl2 | GGA-PBE | optimized geometry

## Properties
ΔE to the lowest computed polymorph ... 0.2810 eV per atom
Total magnetization ... 17.200 μB per cell

```
data_AcPuAl2
_chemical_formula_sum 'Ac3 Pu3 Al6'
_cell_length_a 3.6377
_cell_length_b 3.6377
_cell_length_c 29.7585
_cell_angle_alpha 90.00
_cell_angle_beta 90.00
_cell_angle_gamma 120.00
_symmetry_space_group_name_H-M 'R -3 m'
_symmetry_Int_Tables_number 166
_symmetry_space_group_name_Hall '-R 3 2"'
loop_
_atom_site_label
_atom_site_type_symbol
_atom_site_fract_x
_atom_site_fract_y
_atom_site_fract_z
Ac1 Ac 0.0000 0.0000 0.0000
Pu1 Pu 0.0000 0.0000 0.5000
Al1 Al 0.0000 0.0000 0.2449
```

Record 2
HoNpCoRu | GGA-PBE | optimized geometry

## Properties
Total magnetization ... 9.888 μB per cell
Electronic total energy ... -8.551 eV per atom

```
data_HoNpCoRu
_chemical_formula_sum 'Ho4 Np4 Co4 Ru4'
_cell_length_a 6.694
_cell_length_b 6.694
_cell_length_c 6.694
_cell_angle_alpha 90.00
_cell_angle_beta 90.00
_cell_angle_gamma 90.00
_symmetry_space_group_name_H-M 'F -4 3 m'
_symmetry_Int_Tables_number 216
_symmetry_space_group_name_Hall 'F -4 2 3'
loop_
_atom_site_label
_atom_site_type_symbol
_atom_site_fract_x
_atom_site_fract_y
_atom_site_fract_z
Ho1 Ho 0.000 0.000 0.000
Np1 Np 0.000 0.000 0.500
Co1 Co 0.250 0.250 0.750
Ru1 Ru 0.250 0.250 0.250
```

Record 3
In2BiHPd | GGA-PBE | optimized geometry

## Properties
Total magnetization ... 0.000 μB per cell
Electronic total energy ... -3.589 eV per atom

```
data_In2BiHPd
_chemical_formula_sum 'In2 Bi1 H1 Pd1'
_cell_length_a 5.616
_cell_length_b 5.616
_cell_length_c 3.465
_cell_angle_alpha 90.00
_cell_angle_beta 90.00
_cell_angle_gamma 90.00
_symmetry_space_group_name_H-M 'P 4/m m m'
_symmetry_Int_Tables_number 123
_symmetry_space_group_name_Hall '-P 4 2'
loop_
_atom_site_label
_atom_site_type_symbol
_atom_site_fract_x
_atom_site_fract_y
_atom_site_fract_z
In1 In 0.000 0.500 0.000
Bi1 Bi 0.000 0.000 0.500
H1 H 0.500 0.500 0.500
Pd1 Pd 0.500 0.500 0.000
```

Record 4
KGaC | GGA-PBE | optimized geometry

## Properties
Total magnetization ... 0.000 μB per cell
Electronic total energy ... -4.160 eV per atom

```
data_KGaC
_chemical_formula_sum 'K2 Ga2 C2'
_cell_length_a 3.622
_cell_length_b 4.669
_cell_length_c 8.895
_cell_angle_alpha 90.00
_cell_angle_beta 90.13
_cell_angle_gamma 90.15
_symmetry_space_group_name_H-M 'P 1'
_symmetry_Int_Tables_number 1
_symmetry_space_group_name_Hall 'P 1'
loop_
_atom_site_label
_atom_site_type_symbol
_atom_site_fract_x
_atom_site_fract_y
_atom_site_fract_z
K1 K 0.000 0.000 0.000
K2 K 0.003 0.500 0.359
Ga1 Ga 0.498 0.500 0.763
Ga2 Ga 0.506 0.000 0.628
C1 C 0.502 0.000 0.262
C2 C 0.503 0.000 0.404
```

Record 5
AgC2 | GGA-PBE | optimized geometry

## Properties
ΔE to the lowest computed polymorph ... 0.8366 eV per atom
Total magnetization ... 0.000 μB per cell

```
data_AgC2
_chemical_formula_sum 'Ag4 C8'
_cell_length_a 7.499
_cell_length_b 2.616
_cell_length_c 7.620
_cell_angle_alpha 90.00
_cell_angle_beta 103.29
_cell_angle_gamma 90.00
_symmetry_space_group_name_H-M 'C 1 2/m 1'
_symmetry_Int_Tables_number 12
_symmetry_space_group_name_Hall '-C 2y'
loop_
_atom_site_label
_atom_site_type_symbol
_atom_site_fract_x
_atom_site_fract_y
_atom_site_fract_z
Ag1 Ag 0.075 0.000 0.343
C1 C 0.234 0.000 0.764
C2 C 0.247 0.000 0.951
```

Record 6
Rb2ScF | GGA-PBE | optimized geometry

## Properties
ΔE to the lowest computed polymorph ... 0.5212 eV per atom
Formation energy without anion corrections ... -0.065 eV per atom
Total magnetization ... 8.000 μB per cell

```
data_Rb2ScF
_chemical_formula_sum 'Rb8 Sc4 F4'
_cell_length_a 8.958
_cell_length_b 8.958
_cell_length_c 8.958
_cell_angle_alpha 90.00
_cell_angle_beta 90.00
_cell_angle_gamma 90.00
_symmetry_space_group_name_H-M 'F m -3 m'
_symmetry_Int_Tables_number 225
_symmetry_space_group_name_Hall '-F 4 2 3'
loop_
_atom_site_label
_atom_site_type_symbol
_atom_site_fract_x
_atom_site_fract_y
_atom_site_fract_z
Rb1 Rb 0.250 0.250 0.250
Sc1 Sc 0.000 0.000 0.000
F1 F 0.000 0.000 0.500
```